Compound: AlCoRuO6
Source: Alexandria
Functional: PBE with a Hubbard U
Structure: optimized geometry

a = 4.8729 Å, b = 4.8729 Å, c = 8.2954 Å
α = 90.00°, β = 90.00°, γ = 120.00°
Closest atoms and distances in Å follow each position.
Space group P-31c (No. 163)
Unique sites:
Al (0.3333, 0.6667, 0.2500) (multiplicity 2)  6 O 1.89
Co (0.0000, 0.0000, 0.0000) (multiplicity 2)  6 O 1.95
Ru (0.3333, 0.6667, 0.7500) (multiplicity 2)  6 O 1.94
O (0.0081, 0.3415, 0.1256) (multiplicity 12)  1 Al 1.89, 1 Ru 1.94, 1 Co 1.95

Summary:
Energy, eV/atom: -6.607
Mass density, g/cm³: 5.5
Size of the total moment, μB per cell: 2.807